[1]
Compound: FeNiHRu2
Source: Alexandria via LeMat-Bulk
Functional: PBE
Structure: optimized geometry

Results
* offset from the most stable computed form: 0.000 eV/atom

Geometry as CIF:
```
data_FeNiHRu2
_cell_length_a 3.8500
_cell_length_b 3.8500
_cell_length_c 3.6038
_cell_angle_alpha 90.00
_cell_angle_beta 90.00
_cell_angle_gamma 90.00
_symmetry_space_group_name_H-M 'P 4/m m m'
_symmetry_Int_Tables_number 123
_symmetry_space_group_name_Hall '-P 4 2'
loop_
_atom_site_label
_atom_site_fract_x
_atom_site_fract_y
_atom_site_fract_z
Fe1 0.0000 0.0000 0.0000
Ni1 0.5000 0.5000 0.0000
H1 0.5000 0.5000 0.5000
Ru1 0.0000 0.5000 0.5000
```

[2]
Compound: Fe2NiHRu
Source: Alexandria via LeMat-Bulk
Functional: PBE
Structure: optimized geometry

Results
* offset from the most stable computed form: 0.000 eV/atom

Geometry as CIF:
```
data_Fe2NiHRu
_cell_length_a 3.6957
_cell_length_b 3.6957
_cell_length_c 3.7231
_cell_angle_alpha 90.00
_cell_angle_beta 90.00
_cell_angle_gamma 90.00
_symmetry_space_group_name_H-M 'P 4/m m m'
_symmetry_Int_Tables_number 123
_symmetry_space_group_name_Hall '-P 4 2'
loop_
_atom_site_label
_atom_site_fract_x
_atom_site_fract_y
_atom_site_fract_z
Fe1 0.0000 0.5000 0.0000
Ni1 0.0000 0.0000 0.5000
H1 0.5000 0.5000 0.0000
Ru1 0.5000 0.5000 0.5000
```

[3]
Compound: Fe2NiSbH
Source: Alexandria via LeMat-Bulk
Functional: PBE
Structure: optimized geometry

Results
* total DFT energy (no corrections): -0.4406 Ry per atom

Geometry as CIF:
```
data_Fe2NiSbH
_cell_length_a 3.7382
_cell_length_b 3.7382
_cell_length_c 3.9936
_cell_angle_alpha 90.00
_cell_angle_beta 90.00
_cell_angle_gamma 90.00
_symmetry_space_group_name_H-M 'P 4/m m m'
_symmetry_Int_Tables_number 123
_symmetry_space_group_name_Hall '-P 4 2'
loop_
_atom_site_label
_atom_site_fract_x
_atom_site_fract_y
_atom_site_fract_z
Fe1 0.0000 0.5000 0.0000
Ni1 0.0000 0.0000 0.5000
Sb1 0.5000 0.5000 0.5000
H1 0.0000 0.0000 0.0000
```

[4]
Compound: ScFeNi2H6
Source: Alexandria via LeMat-Bulk
Functional: PBE
Structure: optimized geometry

Results
* total DFT energy (no corrections): -0.3584 Ry per atom

Geometry as CIF:
```
data_ScFeNi2H6
_cell_length_a 4.3910
_cell_length_b 4.3944
_cell_length_c 4.8899
_cell_angle_alpha 116.57
_cell_angle_beta 90.04
_cell_angle_gamma 119.96
_symmetry_space_group_name_H-M 'P 1'
_symmetry_Int_Tables_number 1
_symmetry_space_group_name_Hall 'P 1'
loop_
_atom_site_label
_atom_site_fract_x
_atom_site_fract_y
_atom_site_fract_z
Sc1 0.0000 0.0000 0.0000
Fe1 0.4288 0.8570 0.2863
Ni1 0.2080 0.4151 0.6271
Ni2 0.7875 0.5745 0.3632
H1 0.0212 0.5291 0.0531
H2 0.2125 0.0105 0.5642
H3 0.5095 0.0360 0.0558
H4 0.5239 0.5453 0.0519
H5 0.5499 0.7614 0.5633
H6 0.7993 0.3500 0.5642
```

[5]
Compound: ScFeNi2H
Source: Alexandria via LeMat-Bulk
Functional: PBE
Structure: optimized geometry

Results
* total DFT energy (no corrections): -0.4514 Ry per atom

Geometry as CIF:
```
data_ScFeNi2H
_cell_length_a 3.7317
_cell_length_b 3.7317
_cell_length_c 3.8443
_cell_angle_alpha 90.00
_cell_angle_beta 90.00
_cell_angle_gamma 90.00
_symmetry_space_group_name_H-M 'P 4/m m m'
_symmetry_Int_Tables_number 123
_symmetry_space_group_name_Hall '-P 4 2'
loop_
_atom_site_label
_atom_site_fract_x
_atom_site_fract_y
_atom_site_fract_z
Sc1 0.0000 0.0000 0.0000
Fe1 0.5000 0.5000 0.0000
Ni1 0.0000 0.5000 0.5000
H1 0.5000 0.5000 0.5000
```

[6]
Compound: Sc2FeNiH
Source: Alexandria via LeMat-Bulk
Functional: PBE
Structure: optimized geometry

Results
* total DFT energy (no corrections): -0.4708 Ry per atom

Geometry as CIF:
```
data_Sc2FeNiH
_cell_length_a 4.4595
_cell_length_b 4.4595
_cell_length_c 3.2720
_cell_angle_alpha 90.00
_cell_angle_beta 90.00
_cell_angle_gamma 90.00
_symmetry_space_group_name_H-M 'P 4/m m m'
_symmetry_Int_Tables_number 123
_symmetry_space_group_name_Hall '-P 4 2'
loop_
_atom_site_label
_atom_site_fract_x
_atom_site_fract_y
_atom_site_fract_z
Sc1 0.0000 0.5000 0.0000
Fe1 0.0000 0.0000 0.5000
Ni1 0.5000 0.5000 0.5000
H1 0.0000 0.0000 0.0000
```

[7]
Compound: Sc2FeNi6H
Source: Alexandria via LeMat-Bulk
Functional: PBE
Structure: optimized geometry

Results
* total DFT energy (no corrections): -0.4553 Ry per atom

Geometry as CIF:
```
data_Sc2FeNi6H
_cell_length_a 8.8001
_cell_length_b 5.0815
_cell_length_c 6.2817
_cell_angle_alpha 90.00
_cell_angle_beta 117.74
_cell_angle_gamma 90.00
_symmetry_space_group_name_H-M 'C 1 2/m 1'
_symmetry_Int_Tables_number 12
_symmetry_space_group_name_Hall '-C 2y'
loop_
_atom_site_label
_atom_site_fract_x
_atom_site_fract_y
_atom_site_fract_z
Sc1 0.2159 0.0000 0.1475
Fe1 0.0000 0.5000 0.0000
Ni1 0.0243 0.2514 0.3211
Ni2 0.2273 0.0000 0.6790
H1 0.0000 0.0000 0.5000
```

[8]
Compound: FeSiNi2H
Source: Alexandria via LeMat-Bulk
Functional: PBE
Structure: optimized geometry

Results
* total DFT energy (no corrections): -0.4420 Ry per atom

Geometry as CIF:
```
data_FeSiNi2H
_cell_length_a 3.5214
_cell_length_b 3.5214
_cell_length_c 3.6702
_cell_angle_alpha 90.00
_cell_angle_beta 90.00
_cell_angle_gamma 90.00
_symmetry_space_group_name_H-M 'P 4/m m m'
_symmetry_Int_Tables_number 123
_symmetry_space_group_name_Hall '-P 4 2'
loop_
_atom_site_label
_atom_site_fract_x
_atom_site_fract_y
_atom_site_fract_z
Fe1 0.0000 0.0000 0.0000
Si1 0.5000 0.5000 0.0000
Ni1 0.0000 0.5000 0.5000
H1 0.0000 0.0000 0.5000
```